# La3NiPd

A relaxed structure of La3NiPd (PBE, Alexandria).

Structure (POSCAR):
```
La3NiPd
1.0
5.3652 0.0000 0.0000
0.0000 5.3652 0.0000
0.0000 0.0000 5.3652
La Ni Pd
3 1 1
Direct
0.0000 0.0000 0.5000 La
0.0000 0.5000 0.0000 La
0.5000 0.0000 0.0000 La
0.0000 0.0000 0.0000 Ni
0.5000 0.5000 0.5000 Pd
```

Summary:
- M_tot (μB/f.u.) = 0.000
- total DFT energy (no corrections) (eV for the cell shown) = -26.062
- crystal system = cubic
- energy relative to the elements (meV/atom) = -61.1
- symmetry = Pm-3m
- energy above the most stable polymorph in this dataset (meV per atom) = 399



# AlPbW2

A relaxed structure of AlPbW2 (PBE, Alexandria).

Structure (POSCAR):
```
AlPbW2
1.0
-1.6445 2.3774 4.5505
1.6445 -2.3774 4.5505
1.6445 2.3774 -4.5505
Al Pb W
1 1 2
Direct
0.0000 0.0000 0.0000 Al
0.5000 0.5000 0.0000 Pb
0.2410 0.7410 0.5000 W
0.7590 0.2590 0.5000 W
```

Summary:
- M_tot (μB/f.u.) = 0.000
- total DFT energy (no corrections) (eV for the cell shown) = -30.415
- crystal system = orthorhombic
- energy relative to the elements (meV/atom) = 735.5
- symmetry = Immm
- energy above the most stable polymorph in this dataset (meV per atom) = 353